# 1
YSO2F | Alexandria via LeMat-Bulk | GGA-PBE | relaxed; N(E_F) = 1.96 states/eV/f.u.; E_form (uncorrected) = -107.5 kJ per mole of atoms
1.0
3.728 0.000 0.000
0.000 3.728 0.000
0.000 0.000 4.824
Y S O F
1 1 2 1
Cartesian
0.000 0.000 0.000
1.864 1.864 2.412
0.000 1.864 2.412
1.864 0.000 2.412
1.864 1.864 0.000

# 2
KIrRu2O8 | Alexandria via LeMat-Bulk | GGA-PBE | relaxed; N(E_F) = 7.78 states/eV/f.u.; E_form (uncorrected) = -84.4 kJ per mole of atoms
1.0
5.120 0.000 0.000
-2.560 4.434 0.000
0.000 0.000 8.696
K Ir Ru O
1 1 2 8
Cartesian
0.000 0.000 0.000
0.000 0.000 4.348
0.000 2.956 6.221
2.560 1.478 2.475
-0.739 1.429 5.510
-0.952 4.359 5.510
0.868 1.355 3.186
0.000 2.956 7.976
2.560 1.478 0.720
1.692 3.079 5.510
3.512 0.075 3.186
3.299 3.004 3.186

Please write out number 1 again, unchanged.
YSO2F | Alexandria via LeMat-Bulk | GGA-PBE | relaxed; N(E_F) = 1.96 states/eV/f.u.; E_form (uncorrected) = -107.5 kJ per mole of atoms
1.0
3.728 0.000 0.000
0.000 3.728 0.000
0.000 0.000 4.824
Y S O F
1 1 2 1
Cartesian
0.000 0.000 0.000
1.864 1.864 2.412
0.000 1.864 2.412
1.864 0.000 2.412
1.864 1.864 0.000